## CaSiB2W (PBE)

Data for an optimized crystal structure of CaSiB2W.

Properties
uncorrected formation energy: 2.8206 eV per atom

```
CaSiB2W
1.0
4.063 0.000 0.000
0.000 4.063 0.000
0.000 0.000 4.904
Ca Si B W
1 1 2 1
Cartesian
0.000 0.000 0.000 Ca
0.000 0.000 2.452 Si
0.000 2.031 0.000 B
2.031 0.000 0.000 B
2.031 2.031 2.452 W
```